1.
{"formula": "Mg3ZnAg3", "functional": "GGA-PBE", "state": "optimized geometry", "lattice": [[-4.306, 2.359, -4.596], [-3.326, -5.845, 0.036], [-3.562, 2.054, 4.391]], "species": ["Ag", "Ag", "Ag", "Mg", "Ag", "Mg", "Mg", "Mg", "Ag", "Zn", "Ag", "Mg", "Zn", "Mg"], "fractional_positions": [[0.716, 0.716, 0.502], [0.729, 0.271, 0.500], [0.271, 0.729, 0.500], [0.999, 0.501, 0.247], [0.284, 0.284, 0.498], [0.999, 0.999, 0.751], [0.001, 0.001, 0.249], [0.501, 0.999, 0.247], [0.736, 0.264, 0.000], [0.336, 0.336, 0.002], [0.264, 0.736, 0.000], [0.499, 0.001, 0.753], [0.664, 0.664, 0.998], [0.001, 0.499, 0.753]], "space_group": "C2/m, No. 12", "e_tot_ev_per_atom": -2.169, "formation_energy_mev_per_atom": -82}

***

2.
{"formula": "Mg4Zn3Ag4", "functional": "GGA-PBE", "state": "optimized geometry", "lattice": [[-1.514, -2.837, 0.246], [3.098, -1.713, -0.581], [2.216, 2.133, 16.727]], "species": ["Zn", "Mg", "Ag", "Mg", "Mg", "Zn", "Ag", "Ag", "Ag", "Mg", "Zn"], "fractional_positions": [[0.363, 0.363, 0.727], [0.183, 0.182, 0.365], [0.905, 0.905, 0.811], [0.549, 0.548, 0.095], [0.817, 0.818, 0.635], [0.637, 0.637, 0.273], [0.726, 0.726, 0.451], [0.095, 0.095, 0.189], [0.274, 0.274, 0.549], [0.451, 0.452, 0.905], [0.000, 0.000, 0.000]], "space_group": "P-1, No. 2", "e_tot_ev_per_atom": -2.106, "formation_energy_mev_per_atom": -141}

***

3.
{"formula": "MgZn6Ag5", "functional": "GGA-PBE", "state": "optimized geometry", "lattice": [[4.003, -0.004, -1.123], [-2.859, 6.533, -2.513], [-0.041, -0.065, 7.561]], "species": ["Ag", "Zn", "Zn", "Ag", "Zn", "Zn", "Ag", "Ag", "Zn", "Zn", "Mg", "Ag"], "fractional_positions": [[0.500, 0.500, 0.500], [0.240, 0.739, 0.739], [0.256, 0.425, 0.088], [0.500, 0.160, 0.840], [0.760, 0.261, 0.261], [0.256, 0.088, 0.425], [0.500, 0.840, 0.160], [0.000, 0.329, 0.671], [0.744, 0.912, 0.575], [0.744, 0.575, 0.912], [0.000, 0.000, 0.000], [0.000, 0.671, 0.329]], "space_group": "Immm, No. 71", "e_tot_ev_per_atom": -2.008, "formation_energy_mev_per_atom": -50}

***

4.
{"formula": "Mg2ZnAg", "functional": "GGA-PBE", "state": "optimized geometry", "lattice": [[-5.194, 7.911, 2.522], [-7.007, 5.772, 3.676], [-4.656, 6.801, 5.291]], "species": ["Mg", "Mg", "Zn", "Ag"], "fractional_positions": [[0.006, 0.006, 0.006], [0.245, 0.245, 0.245], [0.495, 0.495, 0.495], [0.753, 0.753, 0.753]], "space_group": "R3m, No. 160", "e_tot_ev_per_atom": -1.821, "formation_energy_mev_per_atom": 8}